1.
Computed, not measured: an optimized crystal structure of Cu5Ag3 at the PBE level of DFT.

Results
polymorph energy (0 for the lowest one)	51	meV per atom
SG	Cmmm

a = 5.4466 Å, b = 5.4466 Å, c = 3.8227 Å
α = 90.00°, β = 90.00°, γ = 91.48°
Fractional coordinates of all 8 atoms:
Ag1 0.0000 0.0000 0.0000
Ag2 0.2594 0.7406 0.5000
Ag3 0.7406 0.2594 0.5000
Cu1 0.7457 0.7457 0.5000
Cu2 0.5000 0.5000 0.0000
Cu3 0.0000 0.5000 0.0000
Cu4 0.5000 0.0000 0.0000
Cu5 0.2543 0.2543 0.5000

2.
Computed, not measured: an optimized crystal structure of CuAg at the PBE level of DFT.

Results
SG	Cm

a = 4.8131 Å, b = 4.8131 Å, c = 5.6015 Å
α = 106.84°, β = 106.84°, γ = 46.59°
Fractional coordinates of all 6 atoms:
Ag1 0.3415 0.3415 0.6682
Ag2 0.6693 0.6693 0.8412
Ag3 0.6598 0.6598 0.3269
Cu1 0.3390 0.3390 0.1707
Cu2 0.9926 0.9926 0.4830
Cu3 0.9979 0.9979 0.0100

3.
Computed, not measured: an optimized crystal structure of Cu5Ag3 at the PBE level of DFT.

Results
polymorph energy (0 for the lowest one)	48	meV per atom
SG	I-4m2

a = 8.1662 Å, b = 8.1662 Å, c = 8.1662 Å
α = 152.86°, β = 152.86°, γ = 38.76°
Fractional coordinates of all 8 atoms:
Cu1 0.7500 0.2500 0.5000
Cu2 0.6191 0.6191 0.0000
Cu3 0.0002 0.5002 0.5000
Cu4 0.3809 0.3809 0.0000
Cu5 0.4998 0.9998 0.5000
Ag1 0.8801 0.8801 0.0000
Ag2 0.2500 0.7500 0.5000
Ag3 0.1199 0.1199 0.0000

Computed ΔH_f (0 K) (eV/atom) in order:
0.098; 0.099; 0.095
Computed E (eV per atom) in order:
-3.284; -3.171; -3.287